1.
# GGA-PBEsol Zr4CrSi, relaxed
data_Zr4CrSi
_cell_length_a 5.5197
_cell_length_b 5.5197
_cell_length_c 5.5197
_cell_angle_alpha 60.00
_cell_angle_beta 60.00
_cell_angle_gamma 60.00
_symmetry_space_group_name_H-M 'P 1'
_symmetry_Int_Tables_number 1
loop_
_symmetry_equiv_pos_as_xyz
'x,y,z'
loop_
_atom_site_label
_atom_site_fract_x
_atom_site_fract_y
_atom_site_fract_z
Zr1 0.3757 0.3757 0.8729
Zr2 0.3757 0.3757 0.3757
Zr3 0.8729 0.3757 0.3757
Zr4 0.3757 0.8729 0.3757
Si1 0.0000 0.0000 0.0000
Cr1 0.7500 0.7500 0.7500
# space group: F-43m, No. 216
# crystal system: cubic
# raw total energy: -0.5986 Ry per atom

***

2.
# GGA-PBEsol Mg2MnBr, relaxed
data_Mg2MnBr
_cell_length_a 3.2202
_cell_length_b 5.1506
_cell_length_c 5.6014
_cell_angle_alpha 110.79
_cell_angle_beta 106.71
_cell_angle_gamma 90.00
_symmetry_space_group_name_H-M 'P 1'
_symmetry_Int_Tables_number 1
loop_
_symmetry_equiv_pos_as_xyz
'x,y,z'
loop_
_atom_site_label
_atom_site_fract_x
_atom_site_fract_y
_atom_site_fract_z
Mg1 0.0063 0.0388 0.0126
Mg2 0.2203 0.6811 0.4406
Br1 0.7928 0.2240 0.5857
Mn1 0.4806 0.5561 0.9611
# energy above the lowest structure with this stoichiometry: 145.7 meV per atom
# space group: Cm, No. 8
# crystal system: monoclinic
# raw total energy: -0.2701 Ry per atom